# 1
The following is a DFT calculation (PBE-GGA) of a relaxed TeIrPd3 crystal.

The relative energy among the computed polymorphs is 0.000 eV/f.u. As for the spin magnetization: 0.977 μB per formula unit.

Cell and atoms, written as CIF:
```
data_TeIrPd3
_chemical_formula_sum 'Te1 Ir1 Pd3'
_space_group_name_H-M_alt 'P 1'
_space_group_IT_number 1
_cell_length_a 4.8539
_cell_length_b 4.8539
_cell_length_c 4.8539
_cell_angle_alpha 90.00
_cell_angle_beta 90.00
_cell_angle_gamma 90.00
loop_
_space_group_symop_operation_xyz
'x,y,z'
loop_
_atom_site_label
_atom_site_fract_x
_atom_site_fract_y
_atom_site_fract_z
Te1 0.0000 0.0000 0.0000
Ir1 0.5000 0.5000 0.5000
Pd1 0.0000 0.5000 0.5000
Pd2 0.5000 0.0000 0.5000
Pd3 0.5000 0.5000 0.0000
```

# 2
The following is a DFT calculation (PBE-GGA) of a relaxed MgAl2Sb crystal.

The value obtained for the electronic total energy is -37.6 eV/cell. As for the spin magnetization: 0.000 μB per formula unit.

Cell and atoms, written as CIF:
```
data_MgAl2Sb
_chemical_formula_sum 'Mg3 Al6 Sb3'
_space_group_name_H-M_alt 'P 1'
_space_group_IT_number 1
_cell_length_a 3.2063
_cell_length_b 3.2063
_cell_length_c 28.9214
_cell_angle_alpha 90.00
_cell_angle_beta 90.00
_cell_angle_gamma 120.00
loop_
_space_group_symop_operation_xyz
'x,y,z'
loop_
_atom_site_label
_atom_site_fract_x
_atom_site_fract_y
_atom_site_fract_z
Mg1 0.0000 0.0000 0.0000
Mg2 0.3333 0.6667 0.6667
Mg3 0.6667 0.3333 0.3333
Al1 0.0000 0.0000 0.2533
Al2 0.0000 0.0000 0.7467
Al3 0.3333 0.6667 0.4134
Al4 0.3333 0.6667 0.9200
Al5 0.6667 0.3333 0.0800
Al6 0.6667 0.3333 0.5866
Sb1 0.0000 0.0000 0.5000
Sb2 0.3333 0.6667 0.1667
Sb3 0.6667 0.3333 0.8333
```

Question: spin magnetization of number 2 (MgAl2Sb)?
Answer: 0.000 μB per formula unit